Entry from the Alexandria database: crystalline InSi3Rh at its relaxed geometry (PBE).

```
InSi3Rh
1.0
4.694 0.000 0.000
0.000 4.694 0.000
0.000 0.000 4.694
In Si Rh
1 3 1
Direct
0.000 0.000 0.000
0.000 0.500 0.500
0.500 0.000 0.500
0.500 0.500 0.000
0.500 0.500 0.500
```

Computed properties:
uncorrected formation energy = 0.3167 eV/atom
D(E_F) = 2.7 states/eV per cell
DFT total energy = -4.9551 eV/atom